Here is an optimized crystal structure of Ti2CuPd4 from Alexandria. Energies are from PBE.

Properties
The calculation puts the total magnetization at 0.00 μB/atom. The value obtained for the formation energy is -337 meV/atom.

abc: 6.5171 5.1371 7.3025
angles: 90.00 116.35 90.00
With the nearest neighbours (Å) after each atom.
Space group P2_1/m (No. 11)
Inequivalent atoms, fractional coordinates:
1 Ti 0.1592 0.2500 0.0548 [2 per cell]  3 Pd 2.47-2.60, 1 Cu 2.72
2 Ti 0.3039 0.2500 0.5204 [2 per cell]  1 Cu 2.60, 8 Pd 2.64-2.79
3 Cu 0.2508 0.7500 0.2856 [2 per cell]  4 Pd 2.49-2.56, 2 Ti 2.60-2.72
4 Pd 0.0897 0.5043 0.7244 [4 per cell]  3 Pd 2.52-2.77, 1 Cu 2.55, 3 Ti 2.60-2.78
5 Pd 0.4406 0.7500 0.6771 [2 per cell]  2 Ti 2.47-2.64, 1 Cu 2.56, 2 Pd 2.77
6 Pd 0.4601 0.7500 0.0707 [2 per cell]  1 Cu 2.49, 1 Ti 2.68


Here is an optimized crystal structure of TiCu2Pd from Alexandria. Energies are from PBE.

Properties
The calculation puts the total magnetization at 0.00 μB/atom. The value obtained for the formation energy is -305 meV/atom.

abc: 4.4748 5.2621 4.6990
angles: 90.00 90.00 90.00
With the nearest neighbours (Å) after each atom.
Space group Pmmn (No. 59, origin choice 2)
Inequivalent atoms, fractional coordinates:
1 Ti 0.2500 0.2500 0.1490 [2 per cell]  4 Pd 2.63-2.65, 8 Cu 2.70-2.76
2 Cu 0.2500 0.5024 0.6486 [4 per cell]  4 Cu 2.61-2.66, 4 Pd 2.66-2.76, 4 Ti 2.70-2.76
3 Pd 0.2500 0.7500 0.1549 [2 per cell]  4 Ti 2.63-2.65, 8 Cu 2.66-2.76


Here is an optimized crystal structure of TiCu2Pd4 from Alexandria. Energies are from PBE.

Properties
The calculation puts the total magnetization at 0.00 μB/atom. The value obtained for the formation energy is 433 meV/atom.

abc: 4.6768 4.6768 12.1921
angles: 90.00 90.00 90.00
With the nearest neighbours (Å) after each atom.
Space group I4/mmm (No. 139)
Inequivalent atoms, fractional coordinates:
1 Ti 0.0000 0.0000 0.0000 [2 per cell]  6 Pd 2.32-2.34
2 Cu 0.0000 0.0000 0.3977 [4 per cell]  1 Cu 2.49, 5 Pd 2.53-2.65
3 Pd 0.0000 0.0000 0.1902 [4 per cell]  1 Ti 2.32, 1 Cu 2.53
4 Pd 0.0000 0.5000 0.0000 [4 per cell]  2 Ti 2.34


Here is an optimized crystal structure of Ti3CuPd from Alexandria. Energies are from PBE.

Properties
The calculation puts the total magnetization at 0.00 μB/atom. The value obtained for the formation energy is -154 meV/atom.

abc: 9.6168 10.7499 6.4715
angles: 90.00 106.63 90.00
With the nearest neighbours (Å) after each atom.
Space group C2/c (No. 15)
Inequivalent atoms, fractional coordinates:
1 Ti 0.1329 0.0334 0.0827 [8 per cell]  2 Ti 2.56-2.57, 3 Cu 2.60-2.83, 1 Pd 2.72
2 Ti 0.1403 0.3847 0.6370 [8 per cell]  2 Cu 2.52-2.69, 3 Pd 2.55-2.74, 1 Ti 2.56
3 Ti 0.1935 0.3217 0.1234 [8 per cell]  2 Pd 2.56-2.83, 1 Ti 2.66, 1 Cu 2.70
4 Cu 0.1048 0.1885 0.4154 [8 per cell]  1 Cu 2.49, 4 Ti 2.52-2.70, 1 Pd 2.64
5 Pd 0.0000 0.1858 0.7500 [4 per cell]  2 Cu 2.64, 6 Ti 2.72-2.83
6 Pd 0.0000 0.4376 0.2500 [4 per cell]  6 Ti 2.55-2.56